[1]
Mn2CoOsN | GGA-PBE | optimized geometry

Output
Uncorrected energy = -8.90 eV per atom
Formation energy (no corrections) = 0.102 eV per atom

Cell lengths 3.813, 3.813, 3.744 Å; angles 90.00, 90.00, 90.00 degrees
Space group P4/mmm (No. 123)
Inequivalent atoms, fractional coordinates:
Mn 0.000 0.500 0.000
Co 0.000 0.000 0.500
Os 0.500 0.500 0.500
N 0.000 0.000 0.000

***

[2]
AgMo2As | GGA-PBE | optimized geometry

Output
Uncorrected energy = -6.70 eV per atom
Energy of formation from the pure elements = 0.59 eV/atom

Cell lengths 7.327, 7.327, 5.234 Å; angles 90.00, 90.00, 90.00 degrees
Space group I-42d (No. 122)
Inequivalent atoms, fractional coordinates:
Ag 0.000 0.000 0.000
Mo 0.207 0.250 0.625
As 0.000 0.000 0.500

***

[3]
DyCuSi | GGA-PBE | optimized geometry

Output
Uncorrected energy = -5.35 eV per atom
Formation energy (no corrections) = -0.644 eV per atom

Cell lengths 4.1401, 4.1401, 3.7391 Å; angles 90.00, 90.00, 120.00 degrees
Space group P-6m2 (No. 187)
Inequivalent atoms, fractional coordinates:
Dy 0.0000 0.0000 0.0000
Cu 0.3333 0.6667 0.5000
Si 0.6667 0.3333 0.5000

***

[4]
TiGaS3 | GGA-PBE | optimized geometry

Output
Uncorrected energy = -5.20 eV per atom
Formation energy (no corrections) = -0.537 eV per atom

Cell lengths 4.744, 4.744, 4.744 Å; angles 90.00, 90.00, 90.00 degrees
Space group Pm-3m (No. 221)
Inequivalent atoms, fractional coordinates:
Ti 0.000 0.000 0.000
Ga 0.500 0.500 0.500
S 0.000 0.000 0.500

***

[5]
CaMg5Cu | GGA-PBE | optimized geometry

Output
Uncorrected energy = -1.98 eV per atom
Energy of formation from the pure elements = 0.03 eV/atom

Cell lengths 4.598, 4.598, 8.070 Å; angles 90.00, 90.00, 90.00 degrees
Space group P4/mmm (No. 123)
Inequivalent atoms, fractional coordinates:
Ca 0.000 0.000 0.000
Mg 0.000 0.500 0.312
Mg 0.500 0.500 0.000
Cu 0.500 0.500 0.500

***

[6]
KTcBr2 | GGA-PBE | optimized geometry

Output
Uncorrected energy = -3.63 eV per atom
Formation energy (no corrections) = 0.071 eV per atom

Cell lengths 7.496, 7.496, 7.496 Å; angles 90.00, 90.00, 90.00 degrees
Space group Fm-3m (No. 225)
Inequivalent atoms, fractional coordinates:
K 0.000 0.000 0.000
Tc 0.000 0.000 0.500
Br 0.250 0.250 0.250